No. 1
Density functional theory data (GGA-PBE) for a relaxed InNiTe2 crystal.

Unit cell a=5.2700 b=5.2700 c=3.3982 alpha=90.00 beta=90.00 gamma=90.00
Space group P4/mmm (No. 123)
Asymmetric unit:
In 0.0000 0.0000 0.0000 (multiplicity 1)
Ni 0.5000 0.5000 0.0000 (multiplicity 1)
Te 0.0000 0.5000 0.5000 (multiplicity 2)

Output
Uncorrected energy: -13.4 eV per cell
Crystal system: tetragonal
D(E_F): 2.47 states/eV/f.u.
Total magnetic moment: 0.00 μB/atom
Energy relative to the elements, uncorrected: 346 meV per atom

No. 2
Density functional theory data (GGA-PBE) for a relaxed InNiTe2 crystal.

Unit cell a=4.0635 b=4.0738 c=6.0734 alpha=90.00 beta=90.00 gamma=90.00
Space group Pmmm (No. 47)
Asymmetric unit:
In 0.0000 0.0000 0.0000 (multiplicity 1)
Ni 0.5000 0.0000 0.5000 (multiplicity 1)
Te 0.0000 0.5000 0.5000 (multiplicity 1)
Te 0.5000 0.5000 0.0000 (multiplicity 1)

Output
Uncorrected energy: -13.3 eV per cell
Crystal system: orthorhombic
D(E_F): 4.59 states/eV/f.u.
Total magnetic moment: 0.00 μB/atom
Energy relative to the elements, uncorrected: 369 meV per atom

No. 3
Density functional theory data (GGA-PBE) for a relaxed InNiTe3 crystal.

Unit cell a=5.1340 b=5.1340 c=5.1340 alpha=90.00 beta=90.00 gamma=90.00
Space group Pm-3m (No. 221)
Asymmetric unit:
In 0.0000 0.0000 0.0000 (multiplicity 1)
Ni 0.5000 0.5000 0.5000 (multiplicity 1)
Te 0.0000 0.5000 0.5000 (multiplicity 3)

Output
Uncorrected energy: -17.1 eV per cell
Crystal system: cubic
D(E_F): 5.95 states/eV/f.u.
Total magnetic moment: 0.00 μB/atom
Energy relative to the elements, uncorrected: 160 meV per atom

No. 4
Density functional theory data (GGA-PBE) for a relaxed In2Ni3Te2 crystal.

Unit cell a=5.5110 b=5.5110 c=15.7064 alpha=90.00 beta=90.00 gamma=120.00
Space group R-3m (No. 166, hexagonal axes)
Asymmetric unit:
In 0.0000 0.0000 0.0000 (multiplicity 3)
In 0.0000 0.0000 0.5000 (multiplicity 3)
Ni 0.0000 0.5000 0.0000 (multiplicity 9)
Te 0.0000 0.0000 0.2134 (multiplicity 6)

Output
Uncorrected energy: -90.1 eV per cell
Crystal system: trigonal
D(E_F): 3.90 states/eV/f.u.
Total magnetic moment: 0.00 μB/atom
Energy relative to the elements, uncorrected: -134 meV per atom

No. 5
Density functional theory data (GGA-PBE) for a relaxed InNi2Te crystal.

Unit cell a=7.4442 b=3.4527 c=5.8207 alpha=90.00 beta=104.96 gamma=90.00
Space group C2/m (No. 12)
Asymmetric unit:
In 0.0000 0.0000 0.0000 (multiplicity 2)
Ni 0.2471 0.0000 0.7397 (multiplicity 4)
Te 0.0000 0.5000 0.5000 (multiplicity 2)

Output
Uncorrected energy: -34.1 eV per cell
Crystal system: monoclinic
D(E_F): 2.60 states/eV/f.u.
Total magnetic moment: 0.00 μB/atom
Energy relative to the elements, uncorrected: 103 meV per atom

No. 6
Density functional theory data (GGA-PBE) for a relaxed InNiTe2 crystal.

Unit cell a=3.3712 b=3.3712 c=8.5417 alpha=90.00 beta=90.00 gamma=90.00
Space group P4/mmm (No. 123)
Asymmetric unit:
In 0.0000 0.0000 0.0000 (multiplicity 1)
Ni 0.0000 0.0000 0.5000 (multiplicity 1)
Te 0.5000 0.5000 0.3188 (multiplicity 2)

Output
Uncorrected energy: -14.2 eV per cell
Crystal system: tetragonal
D(E_F): 1.48 states/eV/f.u.
Total magnetic moment: 0.00 μB/atom
Energy relative to the elements, uncorrected: 149 meV per atom

No. 7
Density functional theory data (GGA-PBE) for a relaxed InNiTe2 crystal.

Unit cell a=4.2628 b=3.8712 c=6.5754 alpha=90.00 beta=96.44 gamma=90.00
Space group Pm (No. 6)
Asymmetric unit:
In 0.0000 0.0000 0.0000 (multiplicity 1)
Ni 0.4643 0.5000 0.9243 (multiplicity 1)
Te 0.4216 0.0000 0.6741 (multiplicity 1)
Te 0.7579 0.5000 0.2739 (multiplicity 1)

Output
Uncorrected energy: -15.1 eV per cell
Crystal system: monoclinic
D(E_F): 2.37 states/eV/f.u.
Total magnetic moment: 0.00 μB/atom
Energy relative to the elements, uncorrected: -66 meV per atom

No. 8
Density functional theory data (GGA-PBE) for a relaxed In2NiTe crystal.

Unit cell a=4.8162 b=4.1163 c=5.8748 alpha=90.00 beta=113.42 gamma=90.00
Space group P2/m (No. 10)
Asymmetric unit:
In 0.1621 0.0000 0.3193 (multiplicity 2)
Ni 0.0000 0.5000 0.0000 (multiplicity 1)
Te 0.5000 0.5000 0.0000 (multiplicity 1)

Output
Uncorrected energy: -14.5 eV per cell
Crystal system: monoclinic
D(E_F): 1.76 states/eV/f.u.
Total magnetic moment: 0.00 μB/atom
Energy relative to the elements, uncorrected: -13 meV per atom

No. 9
Density functional theory data (GGA-PBE) for a relaxed InNi2Te crystal.

Unit cell a=4.5483 b=4.5483 c=15.7745 alpha=90.00 beta=90.00 gamma=90.00
Space group I-42d (No. 122)
Asymmetric unit:
In 0.0000 0.0000 0.0000 (multiplicity 4)
Ni 0.1988 0.2500 0.6250 (multiplicity 8)
Te 0.0000 0.0000 0.5000 (multiplicity 4)

Output
Uncorrected energy: -67.5 eV per cell
Crystal system: tetragonal
D(E_F): 2.48 states/eV/f.u.
Total magnetic moment: 0.00 μB/atom
Energy relative to the elements, uncorrected: 140 meV per atom

No. 10
Density functional theory data (GGA-PBE) for a relaxed In2NiTe crystal.

Unit cell a=4.1164 b=4.1164 c=5.4919 alpha=90.00 beta=90.00 gamma=90.00
Space group P4/mmm (No. 123)
Asymmetric unit:
In 0.0000 0.5000 0.0000 (multiplicity 2)
Ni 0.0000 0.0000 0.5000 (multiplicity 1)
Te 0.5000 0.5000 0.5000 (multiplicity 1)

Output
Uncorrected energy: -13.4 eV per cell
Crystal system: tetragonal
D(E_F): 3.64 states/eV/f.u.
Total magnetic moment: 0.00 μB/atom
Energy relative to the elements, uncorrected: 262 meV per atom

No. 11
Density functional theory data (GGA-PBE) for a relaxed InNiTe2 crystal.

Unit cell a=3.8408 b=5.6938 c=9.3118 alpha=90.00 beta=90.00 gamma=90.00
Space group Cmmm (No. 65)
Asymmetric unit:
In 0.0000 0.0000 0.0000 (multiplicity 2)
Ni 0.0000 0.0000 0.5000 (multiplicity 2)
Te 0.0000 0.5000 0.3182 (multiplicity 4)

Output
Uncorrected energy: -28.9 eV per cell
Crystal system: orthorhombic
D(E_F): 3.64 states/eV/f.u.
Total magnetic moment: 0.00 μB/atom
Energy relative to the elements, uncorrected: 94 meV per atom

No. 12
Density functional theory data (GGA-PBE) for a relaxed InNi3Te crystal.

Unit cell a=4.6763 b=4.6763 c=4.6763 alpha=90.00 beta=90.00 gamma=90.00
Space group Pm-3m (No. 221)
Asymmetric unit:
In 0.0000 0.0000 0.0000 (multiplicity 1)
Ni 0.0000 0.5000 0.5000 (multiplicity 3)
Te 0.5000 0.5000 0.5000 (multiplicity 1)

Output
Uncorrected energy: -20.4 eV per cell
Crystal system: cubic
D(E_F): 6.58 states/eV/f.u.
Total magnetic moment: 0.00 μB/atom
Energy relative to the elements, uncorrected: 566 meV per atom